1.
The following is a DFT calculation (meta-GGA SCAN) of a PBEsol-optimized structure of Sm3Ti3Se2O8.

Values from the calculation:
* SG: P2_1/m, No. 11
* raw total energy: -647.3 eV/cell
* size of the total moment: 0.000 μB per cell

a = 9.6754 Å, b = 3.8966 Å, c = 13.2363 Å
α = 90.00°, β = 111.07°, γ = 90.00°
Closest atoms and distances in Å follow each position.
Sites, in units of the cell vectors:
Sm (0.0526, 0.2500, 0.1621)  3 O 2.27-2.39
Sm (0.4092, 0.2500, 0.5851)  7 O 2.32-2.57
Sm (0.4146, 0.7500, 0.0841)  4 O 2.34-2.39
Sm (0.5854, 0.2500, 0.9159)  4 O 2.34-2.39
Sm (0.5908, 0.7500, 0.4149)  7 O 2.32-2.57
Sm (0.9474, 0.7500, 0.8379)  3 O 2.27-2.39
Ti (0.0408, 0.7500, 0.5934)  6 O 1.92-2.07
Ti (0.1827, 0.7500, 0.4010)  4 O 1.80-1.98
Ti (0.3213, 0.7500, 0.7676)  5 O 1.85-2.00
Ti (0.6787, 0.2500, 0.2324)  5 O 1.85-2.00
Ti (0.8173, 0.2500, 0.5990)  4 O 1.80-1.98
Ti (0.9592, 0.2500, 0.4066)  6 O 1.92-2.07
Se (0.1626, 0.2500, 0.9813)  5 Sm 2.95-3.03
Se (0.3917, 0.2500, 0.2543)  1 Ti 2.89, 5 Sm 3.01-3.06, 3 O 3.17-3.19
Se (0.6083, 0.7500, 0.7457)  1 Ti 2.89, 5 Sm 3.01-3.06, 3 O 3.17-3.19
Se (0.8374, 0.7500, 0.0187)  5 Sm 2.95-3.03
O (0.0111, 0.2500, 0.5729)  4 Ti 1.97-2.07
O (0.1203, 0.7500, 0.2557)  1 Ti 1.80
O (0.1228, 0.7500, 0.7489)  2 Ti 1.85-1.92
O (0.1783, 0.2500, 0.4281)  3 Ti 1.98-2.03
O (0.2486, 0.7500, 0.6060)  2 Ti 1.96-2.00
O (0.3596, 0.2500, 0.7629)  2 Ti 1.99
O (0.3897, 0.7500, 0.4712)  1 Ti 1.88
O (0.4447, 0.7500, 0.9167)  1 Ti 1.90
O (0.5553, 0.2500, 0.0833)  1 Ti 1.90
O (0.6103, 0.2500, 0.5288)  1 Ti 1.88
O (0.6404, 0.7500, 0.2371)  2 Ti 1.99
O (0.7514, 0.2500, 0.3940)  2 Ti 1.96-2.00
O (0.8217, 0.7500, 0.5719)  3 Ti 1.98-2.03
O (0.8772, 0.2500, 0.2511)  2 Ti 1.85-1.92
O (0.8797, 0.2500, 0.7443)  1 Ti 1.80
O (0.9889, 0.7500, 0.4271)  4 Ti 1.97-2.07

***

2.
The following is a DFT calculation (meta-GGA SCAN) of a PBEsol-optimized structure of Sm7VSe8O4.

Values from the calculation:
* SG: Pbam, No. 55
* raw total energy: -1132.8 eV/cell
* size of the total moment: 4.000 μB per cell

a = 14.0841 Å, b = 15.4232 Å, c = 3.9312 Å
α = 90.00°, β = 90.00°, γ = 90.00°
Closest atoms and distances in Å follow each position.
Sites, in units of the cell vectors:
Sm (0.0000, 0.0000, 0.0000)  6 Se 2.83-2.88
Sm (0.0065, 0.3110, 0.5000)  3 O 2.31-2.34
Sm (0.2095, 0.3824, 0.0000)  3 O 2.30-2.31
Sm (0.2189, 0.1646, 0.5000)  1 O 2.36
Sm (0.2811, 0.6646, 0.5000)  1 O 2.36
Sm (0.2905, 0.8824, 0.0000)  3 O 2.30-2.31
Sm (0.4935, 0.8110, 0.5000)  3 O 2.31-2.34
Sm (0.5000, 0.5000, 0.0000)  6 Se 2.83-2.88
Sm (0.5065, 0.1890, 0.5000)  3 O 2.31-2.34
Sm (0.7095, 0.1176, 0.0000)  3 O 2.30-2.31
Sm (0.7189, 0.3354, 0.5000)  1 O 2.36
Sm (0.7811, 0.8354, 0.5000)  1 O 2.36
Sm (0.7905, 0.6176, 0.0000)  3 O 2.30-2.31
Sm (0.9935, 0.6890, 0.5000)  3 O 2.31-2.34
V (0.0000, 0.5000, 0.0000)  2 O 1.94
V (0.5000, 0.0000, 0.0000)  2 O 1.94
Se (0.0679, 0.1728, 0.0000)  5 Sm 2.83-3.03
Se (0.1183, 0.5323, 0.5000)  2 V 2.62
Se (0.1467, 0.9725, 0.5000)  5 Sm 2.88-3.15
Se (0.1554, 0.7358, 0.0000)  5 Sm 2.86-3.10
Se (0.3446, 0.2358, 0.0000)  5 Sm 2.86-3.10
Se (0.3533, 0.4725, 0.5000)  5 Sm 2.88-3.15
Se (0.3817, 0.0323, 0.5000)  2 V 2.62
Se (0.4321, 0.6728, 0.0000)  5 Sm 2.83-3.03
Se (0.5679, 0.3272, 0.0000)  5 Sm 2.83-3.03
Se (0.6183, 0.9677, 0.5000)  2 V 2.62
Se (0.6467, 0.5275, 0.5000)  5 Sm 2.88-3.15
Se (0.6554, 0.7642, 0.0000)  5 Sm 2.86-3.10
Se (0.8446, 0.2642, 0.0000)  5 Sm 2.86-3.10
Se (0.8533, 0.0275, 0.5000)  5 Sm 2.88-3.15
Se (0.8817, 0.4677, 0.5000)  2 V 2.62
Se (0.9321, 0.8272, 0.0000)  5 Sm 2.83-3.03
O (0.0453, 0.3815, 0.0000)  1 V 1.94
O (0.1729, 0.3120, 0.5000)  4 Sm 2.30-2.36
O (0.3271, 0.8120, 0.5000)  4 Sm 2.30-2.36
O (0.4547, 0.8815, 0.0000)  1 V 1.94
O (0.5453, 0.1185, 0.0000)  1 V 1.94
O (0.6729, 0.1880, 0.5000)  4 Sm 2.30-2.36
O (0.8271, 0.6880, 0.5000)  4 Sm 2.30-2.36
O (0.9547, 0.6185, 0.0000)  1 V 1.94

***

3.
The following is a DFT calculation (meta-GGA SCAN) of a PBEsol-optimized structure of SnSe2O6.

Values from the calculation:
* SG: P2_1/c, No. 14
* raw total energy: -247.7 eV/cell
* size of the total moment: 0.000 μB per cell

a = 4.8060 Å, b = 8.5787 Å, c = 7.0089 Å
α = 90.00°, β = 110.69°, γ = 90.00°
Closest atoms and distances in Å follow each position.
Sites, in units of the cell vectors:
Sn (0.0000, 0.0000, 0.0000)  6 O 2.06-2.07
Sn (0.0000, 0.5000, 0.5000)  6 O 2.06-2.07
Se (0.3741, 0.1575, 0.6932)  3 O 1.71-1.73
Se (0.3741, 0.3425, 0.1932)  3 O 1.71-1.73
Se (0.6259, 0.6575, 0.8068)  3 O 1.71-1.73
Se (0.6259, 0.8425, 0.3068)  3 O 1.71-1.73
O (0.0894, 0.0677, 0.7440)  1 Se 1.71
O (0.0894, 0.4323, 0.2440)  1 Se 1.71
O (0.2885, 0.1478, 0.2088)  1 Se 1.73
O (0.2885, 0.3522, 0.7088)  1 Se 1.73
O (0.3395, 0.6615, 0.5715)  1 Se 1.73
O (0.3395, 0.8385, 0.0715)  1 Se 1.73
O (0.6605, 0.1615, 0.9285)  1 Se 1.73
O (0.6605, 0.3385, 0.4285)  1 Se 1.73
O (0.7115, 0.6478, 0.2912)  1 Se 1.73
O (0.7115, 0.8522, 0.7912)  1 Se 1.73
O (0.9106, 0.5677, 0.7560)  1 Se 1.71
O (0.9106, 0.9323, 0.2560)  1 Se 1.71